Below is a geometry-optimized UNiP2Ru2 structure, with properties calculated at the GGA-PBE level.

The structure in extended XYZ format:
```
12
Lattice="3.8302 0.0000 0.0000 0.0000 5.8397 0.0000 0.0000 0.0000 7.9449" Properties=species:S:1:pos:R:3 pbc="T T T"
U 0.0000 5.6582 3.5230
U 0.0000 2.7384 4.4219
Ni 1.9151 0.8571 5.8166
Ni 1.9151 3.7770 2.1283
P 0.0000 1.5474 6.9822
P 1.9151 1.5847 2.4937
P 0.0000 4.4672 0.9627
P 1.9151 4.5045 5.4512
Ru 1.9151 0.1458 0.6370
Ru 0.0000 2.1524 1.2643
Ru 1.9151 3.0657 7.3079
Ru 0.0000 5.0723 6.6806
```

Properties
Its space group is Pmc2_1 (26). As for the spin magnetization: 5.09 μB/cell. The calculation puts the formation energy at -321 kJ/mol of formula units. The calculation puts the calculated volume at 178 Å³ per cell.

Below is a geometry-optimized UNiP2Ru structure, with properties calculated at the GGA-PBE level.

The structure in extended XYZ format:
```
5
Lattice="3.8145 0.0000 0.0000 0.0000 3.8145 0.0000 -1.9072 -1.9072 5.0603" Properties=species:S:1:pos:R:3 pbc="T T T"
U 0.0000 0.0000 0.0000
Ni 1.9072 0.0000 2.5302
P 1.9072 1.9072 1.1516
P 0.0000 0.0000 3.9087
Ru 0.0000 1.9072 2.5302
```

Properties
Its space group is I-4m2 (119). As for the spin magnetization: 1.95 μB/cell. The calculation puts the formation energy at -355 kJ/mol of formula units. The calculation puts the calculated volume at 74 Å³ per cell.